i.
RbAg2Se2 after structural relaxation. Source: Alexandria, functional PBE-GGA.

abc: 4.4486 4.4486 7.4653
angles: 72.67 72.67 90.00
Closest atoms and distances in Å follow each position.
Atoms (fractional coordinates):
Se 0.6343 0.6343 0.7314  4 Ag 2.72
Se 0.3657 0.3657 0.2686  4 Ag 2.72
Ag 0.2500 0.7500 0.5000  4 Se 2.72
Ag 0.7500 0.2500 0.5000  4 Se 2.72
Rb 0.0000 0.0000 0.0000  8 Se 3.63, 8 Ag 4.05

=====

ii.
RbAg2Se2 after structural relaxation. Source: Alexandria, functional PBE-GGA.

abc: 7.1215 7.9367 7.0598
angles: 74.46 59.71 57.90
Closest atoms and distances in Å follow each position.
Atoms (fractional coordinates):
Ag 0.8021 0.2500 0.3962  4 Se 2.57-2.85
Ag 0.1979 0.7500 0.6038  4 Se 2.57-2.85
Ag 0.5012 0.7500 0.9976  4 Se 2.66-2.67
Ag 0.4988 0.2500 0.0024  4 Se 2.66-2.67
Se 0.5475 0.5416 0.7227  4 Ag 2.57-2.85
Se 0.7295 0.9585 0.7226  4 Ag 2.57-2.85
Se 0.2705 0.0415 0.2774  4 Ag 2.57-2.85
Se 0.4525 0.4584 0.2773  4 Ag 2.57-2.85
Rb 0.1261 0.2501 0.7475  4 Se 3.54-3.57, 3 Ag 3.88-3.95
Rb 0.8739 0.7499 0.2525  4 Se 3.54-3.57, 3 Ag 3.88-3.95

=====

The structure with the greatest stability is i.

=====

i.
RbAg2Se2 after structural relaxation. Source: Alexandria, functional PBE-GGA.

abc: 8.5506 8.5506 3.2300
angles: 90.00 90.00 90.00
Closest atoms and distances in Å follow each position.
Atoms (fractional coordinates):
Ag 0.3803 0.8803 0.0000  3 Ag 2.89-3.23, 6 Se 2.94-3.05
Ag 0.1197 0.3803 0.0000  3 Ag 2.89-3.23, 6 Se 2.94-3.05
Ag 0.6197 0.1197 0.0000  3 Ag 2.89-3.23, 6 Se 2.94-3.05
Ag 0.8803 0.6197 0.0000  3 Ag 2.89-3.23, 6 Se 2.94-3.05
Se 0.6768 0.8232 0.5000  6 Ag 2.94-3.05, 2 Se 3.23
Se 0.8232 0.3232 0.5000  6 Ag 2.94-3.05, 2 Se 3.23
Se 0.3232 0.1768 0.5000  6 Ag 2.94-3.05, 2 Se 3.23
Se 0.1768 0.6768 0.5000  6 Ag 2.94-3.05, 2 Se 3.23
Rb 0.0000 0.0000 0.0000  2 Rb 3.23, 4 Ag 3.41, 8 Se 3.54
Rb 0.5000 0.5000 0.0000  2 Rb 3.23, 4 Ag 3.41, 8 Se 3.54

=====

ii.
RbAg2Se2 after structural relaxation. Source: Alexandria, functional PBE-GGA.

abc: 5.2757 5.2757 6.7667
angles: 67.06 67.06 90.00
Closest atoms and distances in Å follow each position.
Atoms (fractional coordinates):
Se 0.2500 0.7500 0.5000  4 Ag 2.69
Se 0.7500 0.2500 0.5000  4 Ag 2.69
Rb 0.0000 0.0000 0.0000  2 Ag 3.35
Ag 0.7030 0.7030 0.5940  4 Se 2.69
Ag 0.2970 0.2970 0.4060  4 Se 2.69

=====

The structure with the greatest stability is ii.

=====

i.
Rb2Si2Ag after structural relaxation. Source: Alexandria, functional PBE-GGA.

abc: 6.7893 6.7893 5.9355
angles: 90.00 90.00 90.00
Closest atoms and distances in Å follow each position.
Atoms (fractional coordinates):
Rb 0.3176 0.1824 0.5000  6 Si 3.50-3.65, 5 Rb 3.50-3.52, 4 Ag 3.87
Rb 0.8176 0.3176 0.5000  6 Si 3.50-3.65, 5 Rb 3.50-3.52, 4 Ag 3.87
Rb 0.6824 0.8176 0.5000  6 Si 3.50-3.65, 5 Rb 3.50-3.52, 4 Ag 3.87
Rb 0.1824 0.6824 0.5000  6 Si 3.50-3.65, 5 Rb 3.50-3.52, 4 Ag 3.87
Si 0.3754 0.8754 0.0000  1 Si 2.39
Si 0.1246 0.3754 0.0000  1 Si 2.39
Si 0.6246 0.1246 0.0000  1 Si 2.39
Si 0.8754 0.6246 0.0000  1 Si 2.39
Ag 0.0000 0.0000 0.0000  4 Si 2.69
Ag 0.5000 0.5000 0.0000  4 Si 2.69

=====

ii.
Rb2Si2Ag after structural relaxation. Source: Alexandria, functional PBE-GGA.

abc: 3.6073 3.6073 11.6528
angles: 81.10 81.10 90.00
Closest atoms and distances in Å follow each position.
Atoms (fractional coordinates):
Rb 0.6107 0.6107 0.7785  4 Ag 3.58, 4 Rb 3.61, 4 Si 3.64
Rb 0.3893 0.3893 0.2215  4 Ag 3.58, 4 Rb 3.61, 4 Si 3.64
Si 0.2500 0.7500 0.5000  4 Si 2.55
Si 0.7500 0.2500 0.5000  4 Si 2.55
Ag 0.0000 0.0000 0.0000  8 Rb 3.58, 4 Ag 3.61

=====

iii.
Rb2Si2Ag after structural relaxation. Source: Alexandria, functional PBE-GGA.

abc: 5.2180 4.5308 6.9571
angles: 71.00 67.97 90.00
Closest atoms and distances in Å follow each position.
Atoms (fractional coordinates):
Rb 0.7002 0.2002 0.5995  6 Si 3.54-3.87, 2 Ag 3.56, 4 Rb 3.66
Rb 0.2998 0.7998 0.4005  6 Si 3.54-3.87, 2 Ag 3.56, 4 Rb 3.66
Ag 0.0000 0.0000 0.0000  4 Si 2.64
Si 0.2615 0.5000 0.0000  2 Si 2.49-2.73, 2 Ag 2.64
Si 0.7385 0.5000 0.0000  2 Si 2.49-2.73, 2 Ag 2.64

=====

The structure with the greatest stability is iii.

=====

i.
RbSi2Ag after structural relaxation. Source: Alexandria, functional PBE-GGA.

abc: 4.9883 4.9883 9.7464
angles: 75.17 75.17 90.00
Closest atoms and distances in Å follow each position.
Atoms (fractional coordinates):
Si 0.8754 0.6250 0.2500  2 Si 2.49, 2 Ag 2.59
Si 0.8750 0.1246 0.7500  2 Si 2.49, 2 Ag 2.59
Si 0.3750 0.1254 0.7500  2 Si 2.49, 2 Ag 2.59
Si 0.8746 0.1250 0.2500  2 Si 2.49, 2 Ag 2.59
Rb 0.2500 0.7500 0.5000  4 Ag 3.53, 8 Si 3.60
Rb 0.5000 0.5000 0.0000  4 Ag 3.53, 8 Si 3.60
Ag 0.0000 0.0000 0.0000  4 Si 2.59
Ag 0.7500 0.2500 0.5000  4 Si 2.59

=====

ii.
RbSi2Ag after structural relaxation. Source: Alexandria, functional PBE-GGA.

abc: 5.0319 5.0319 5.0319
angles: 60.00 60.00 60.00
Closest atoms and distances in Å follow each position.
Atoms (fractional coordinates):
Ag 0.5000 0.5000 0.5000  8 Si 3.08
Si 0.2500 0.2500 0.2500  4 Ag 3.08, 4 Rb 3.08
Si 0.7500 0.7500 0.7500  4 Rb 3.08, 4 Ag 3.08
Rb 0.0000 0.0000 0.0000  8 Si 3.08

=====

The structure with the greatest stability is i.